No. 1
The following is a PBE-GGA calculation of a relaxed structure of Ba2PrI2N2, from Alexandria.

For the uncorrected formation energy, the calculation gives -7.9 eV/f.u. The space group is No. 139. The calculation puts the density of states at the Fermi level at 1.74 states/eV/cell. The value obtained for the volume is 30.8 Å³ per atom.

Geometry as POSCAR:
```
Ba2PrI2N2
1.0
-2.3816 2.3816 9.4956
2.3816 -2.3816 9.4956
2.3816 2.3816 -9.4956
Ba Pr I N
2 1 2 2
Direct
0.0956 0.0956 0.0000
0.9044 0.9044 0.0000
0.5000 0.5000 0.0000
0.3242 0.3242 0.0000
0.6758 0.6758 0.0000
0.0000 0.5000 0.5000
0.5000 0.0000 0.5000
```

---

No. 2
The following is a PBE-GGA calculation of a relaxed structure of Ce4PrTh3P8, from Alexandria.

The space group is No. 166. The calculation puts the density of states at the Fermi level at 21.14 states/eV/cell. The value obtained for the volume is 24.8 Å³ per atom. The energy relative to the elements is -1.54 eV per atom.

Geometry as POSCAR:
```
Ce4PrTh3P8
1.0
4.1269 2.3827 6.7306
-4.1269 2.3827 6.7306
0.0000 -4.7654 6.7306
Ce Pr Th P
4 1 3 8
Direct
0.0000 0.0000 0.0000
0.0000 0.5000 0.5000
0.5000 0.0000 0.5000
0.5000 0.5000 0.0000
0.5000 0.5000 0.5000
0.0000 0.0000 0.5000
0.0000 0.5000 0.0000
0.5000 0.0000 0.0000
0.2468 0.2468 0.7513
0.2468 0.7513 0.2468
0.2487 0.7532 0.7532
0.2510 0.2510 0.2510
0.7490 0.7490 0.7490
0.7513 0.2468 0.2468
0.7532 0.2487 0.7532
0.7532 0.7532 0.2487
```

---

No. 3
The following is a PBE-GGA calculation of a relaxed structure of Tb2Pr6Sm3Mg, from Alexandria.

The space group is No. 12. The calculation puts the density of states at the Fermi level at 13.71 states/eV/cell. The value obtained for the volume is 33.9 Å³ per atom. The energy relative to the elements is 0.02 eV per atom.

Geometry as POSCAR:
```
Tb2Pr6Sm3Mg
1.0
3.1568 -5.4748 0.0000
3.1568 5.4748 0.0000
-2.1175 0.0000 11.7546
Tb Pr Sm Mg
2 6 3 1
Direct
0.1667 0.8333 0.0000
0.8333 0.1667 0.0000
0.0870 0.4189 0.7537
0.2496 0.2496 0.2478
0.4189 0.0870 0.7537
0.5811 0.9130 0.2463
0.7504 0.7504 0.7522
0.9130 0.5811 0.2463
0.0000 0.0000 0.5000
0.3332 0.6668 0.5000
0.6668 0.3332 0.5000
0.5000 0.5000 0.0000
```

---

No. 4
The following is a PBE-GGA calculation of a relaxed structure of Ba2MnRh, from Alexandria.

The space group is No. 8. The value obtained for the polymorph energy (0 for the lowest one) is 0 meV/atom. The calculation puts the density of states at the Fermi level at 3.18 states/eV/cell. The value obtained for the volume is 36.8 Å³ per atom. The energy relative to the elements is -0.01 eV per atom.

Geometry as POSCAR:
```
Ba2MnRh
1.0
3.8047 -2.1965 0.0000
3.8047 2.1965 0.0000
-2.5613 0.0000 8.7968
Ba Mn Rh
2 1 1
Direct
0.0000 0.0000 0.0000
0.1747 0.1747 0.5188
0.4205 0.4205 0.2588
0.7544 0.7544 0.2602
```

---

No. 5
The following is a PBE-GGA calculation of a relaxed structure of CaBeSn, from Alexandria.

The space group is No. 109. The calculation puts the density of states at the Fermi level at 3.73 states/eV/cell. The value obtained for the volume is 22.9 Å³ per atom. The energy relative to the elements is -0.26 eV per atom.

Geometry as POSCAR:
```
CaBeSn
1.0
-2.1510 2.1510 7.4275
2.1510 -2.1510 7.4275
2.1510 2.1510 -7.4275
Ca Be Sn
2 2 2
Direct
0.0000 0.0000 0.0000
0.7500 0.2500 0.5000
0.1657 0.6657 0.5000
0.4157 0.4157 0.0000
0.3339 0.8339 0.5000
0.5839 0.5839 0.0000
```

---

No. 6
The following is a PBE-GGA calculation of a relaxed structure of HgRh, from Alexandria.

The space group is No. 59. The calculation puts the density of states at the Fermi level at 5.43 states/eV/cell. The value obtained for the volume is 17.6 Å³ per atom. The energy relative to the elements is 0.28 eV per atom.

Geometry as POSCAR:
```
HgRh
1.0
3.0195 0.0000 0.0000
0.0000 4.8409 0.0000
0.0000 0.0000 4.8092
Hg Rh
2 2
Direct
0.2500 0.2500 0.0937
0.7500 0.7500 0.9063
0.2500 0.7500 0.4213
0.7500 0.2500 0.5787
```

---

No. 7
The following is a PBE-GGA calculation of a relaxed structure of SrInP2O, from Alexandria.

For the uncorrected formation energy, the calculation gives 2.5 eV/f.u. The space group is No. 123. The value obtained for the polymorph energy (0 for the lowest one) is 702 meV/atom. The calculation puts the density of states at the Fermi level at 4.73 states/eV/cell. The value obtained for the volume is 30.8 Å³ per atom.

Geometry as POSCAR:
```
SrInP2O
1.0
5.8907 0.0000 0.0000
0.0000 5.8907 0.0000
0.0000 0.0000 4.4354
Sr In P O
1 1 2 1
Direct
0.0000 0.0000 0.0000
0.5000 0.5000 0.5000
0.0000 0.5000 0.0000
0.5000 0.0000 0.0000
0.0000 0.0000 0.5000
```

---

No. 8
The following is a PBE-GGA calculation of a relaxed structure of Pu6NpO12, from Alexandria.

For the uncorrected formation energy, the calculation gives -59.1 eV/f.u. The space group is No. 148. The calculation puts the density of states at the Fermi level at 33.65 states/eV/cell. The value obtained for the volume is 14.9 Å³ per atom.

Geometry as POSCAR:
```
Pu6NpO12
1.0
5.0813 2.9337 3.1634
-5.0813 2.9337 3.1634
0.0000 -5.8674 3.1634
Pu Np O
6 1 12
Direct
0.1008 0.8013 0.6387
0.1987 0.3613 0.8992
0.3613 0.8992 0.1987
0.6387 0.1008 0.8013
0.8013 0.6387 0.1008
0.8992 0.1987 0.3613
0.5000 0.5000 0.5000
0.0655 0.9121 0.3234
0.0879 0.6766 0.9345
0.1835 0.4340 0.5614
0.3234 0.0655 0.9121
0.4340 0.5614 0.1835
0.4386 0.8165 0.5660
0.5614 0.1835 0.4340
0.5660 0.4386 0.8165
0.6766 0.9345 0.0879
0.8165 0.5660 0.4386
0.9121 0.3234 0.0655
0.9345 0.0879 0.6766
```

---

No. 9
The following is a PBE-GGA calculation of a relaxed structure of Ba2ZrTe4, from Alexandria.

For the uncorrected formation energy, the calculation gives -9.3 eV/f.u. The space group is No. 11. The value obtained for the volume is 41.3 Å³ per atom.

Geometry as POSCAR:
```
Ba2ZrTe4
1.0
7.9590 0.0000 0.0000
0.0000 7.8135 0.0000
-3.0543 0.0000 9.3078
Ba Zr Te
4 2 8
Direct
0.2185 0.2500 0.0504
0.2594 0.2500 0.5673
0.7406 0.7500 0.4327
0.7815 0.7500 0.9496
0.2287 0.7500 0.8023
0.7713 0.2500 0.1977
0.0124 0.5129 0.2632
0.0124 0.9871 0.2632
0.4103 0.7500 0.0893
0.4280 0.7500 0.6193
0.5720 0.2500 0.3807
0.5897 0.2500 0.9107
0.9876 0.0129 0.7368
0.9876 0.4871 0.7368
```

---

No. 10
The following is a PBE-GGA calculation of a relaxed structure of Pm4MnGe8, from Alexandria.

The space group is No. 25. The calculation puts the density of states at the Fermi level at 6.46 states/eV/cell. The value obtained for the volume is 22.0 Å³ per atom. The energy relative to the elements is -0.58 eV per atom.

Geometry as POSCAR:
```
Pm4MnGe8
1.0
4.0798 0.0000 0.0000
0.0000 4.2518 0.0000
0.0000 0.0000 16.5094
Pm Mn Ge
4 1 8
Direct
0.0000 0.0000 0.0000
0.0000 0.5000 0.4952
0.5000 0.0000 0.7893
0.5000 0.5000 0.2882
0.0000 0.5000 0.7044
0.0000 0.0000 0.3401
0.0000 0.0000 0.6352
0.0000 0.5000 0.1407
0.0000 0.5000 0.8526
0.5000 0.0000 0.1470
0.5000 0.0000 0.4401
0.5000 0.5000 0.6303
0.5000 0.5000 0.9513
```

---

No. 11
The following is a PBE-GGA calculation of a relaxed structure of Ti2ClF, from Alexandria.

For the uncorrected formation energy, the calculation gives -3.8 eV/f.u. The space group is No. 122. The value obtained for the polymorph energy (0 for the lowest one) is 0 meV/atom. The calculation puts the density of states at the Fermi level at 5.65 states/eV/cell. The value obtained for the volume is 15.5 Å³ per atom.

Geometry as POSCAR:
```
Ti2ClF
1.0
-2.0328 2.0328 7.5027
2.0328 -2.0328 7.5027
2.0328 2.0328 -7.5027
Ti Cl F
4 2 2
Direct
0.0988 0.6250 0.9738
0.3750 0.3488 0.4738
0.6512 0.1250 0.0262
0.8750 0.9012 0.5262
0.2500 0.7500 0.5000
0.5000 0.5000 0.0000
0.0000 0.0000 0.0000
0.7500 0.2500 0.5000
```

---

No. 12
The following is a PBE-GGA calculation of a relaxed structure of Pa2CuNi4Ge3, from Alexandria.

The space group is No. 115. The calculation puts the density of states at the Fermi level at 8.24 states/eV/cell. The value obtained for the volume is 15.8 Å³ per atom. The energy relative to the elements is -0.52 eV per atom.

Geometry as POSCAR:
```
Pa2CuNi4Ge3
1.0
4.0199 0.0000 0.0000
0.0000 4.0199 0.0000
0.0000 0.0000 9.7680
Pa Cu Ni Ge
2 1 4 3
Direct
0.0000 0.5000 0.2487
0.5000 0.0000 0.7513
0.5000 0.5000 0.0000
0.0000 0.0000 0.5000
0.0000 0.5000 0.8644
0.5000 0.0000 0.1356
0.5000 0.5000 0.5000
0.0000 0.0000 0.0000
0.0000 0.5000 0.6284
0.5000 0.0000 0.3716
```

---

No. 13
The following is a PBE-GGA calculation of a relaxed structure of Cs9Rb6Zn, from Alexandria.

The space group is No. 87. The calculation puts the density of states at the Fermi level at 17.08 states/eV/cell. The value obtained for the volume is 99.3 Å³ per atom. The energy relative to the elements is 0.03 eV per atom.

Geometry as POSCAR:
```
Cs9Rb6Zn
1.0
-6.0635 6.0635 10.8048
6.0635 -6.0635 10.8048
6.0635 6.0635 -10.8048
Cs Rb Zn
9 6 1
Direct
0.0000 0.0000 0.0000
0.0502 0.4659 0.1965
0.1462 0.9498 0.4157
0.2694 0.8538 0.8035
0.4659 0.2694 0.4157
0.5341 0.7306 0.5843
0.7306 0.1462 0.1965
0.8538 0.0502 0.5843
0.9498 0.5341 0.8035
0.2111 0.4055 0.6166
0.3300 0.3300 0.0000
0.4055 0.7889 0.1944
0.5945 0.2111 0.8056
0.6700 0.6700 0.0000
0.7889 0.5945 0.3834
0.5000 0.5000 0.0000
```

---

No. 14
The following is a PBE-GGA calculation of a relaxed structure of Ac6CoRh2, from Alexandria.

The space group is No. 162. The calculation puts the density of states at the Fermi level at 8.97 states/eV/cell. The value obtained for the volume is 37.0 Å³ per atom. The energy relative to the elements is -0.38 eV per atom.

Geometry as POSCAR:
```
Ac6CoRh2
1.0
7.4655 0.0000 0.0000
-3.7327 6.4653 0.0000
0.0000 0.0000 6.9028
Ac Co Rh
6 1 2
Direct
0.0000 0.3252 0.2283
0.0000 0.6748 0.7717
0.3252 0.0000 0.2283
0.3252 0.3252 0.7717
0.6748 0.0000 0.7717
0.6748 0.6748 0.2283
0.0000 0.0000 0.0000
0.3333 0.6667 0.0000
0.6667 0.3333 0.0000
```

---

No. 15
The following is a PBE-GGA calculation of a relaxed structure of Ba4YAg, from Alexandria.

The space group is No. 216. The calculation puts the density of states at the Fermi level at 10.75 states/eV/cell. The value obtained for the volume is 48.8 Å³ per atom. The energy relative to the elements is 0.57 eV per atom.

Geometry as POSCAR:
```
Ba4YAg
1.0
0.0000 5.2713 5.2713
5.2713 0.0000 5.2713
5.2713 5.2713 0.0000
Ba Y Ag
4 1 1
Direct
0.1248 0.1248 0.1248
0.1248 0.1248 0.6255
0.1248 0.6255 0.1248
0.6255 0.1248 0.1248
0.7500 0.7500 0.7500
0.5000 0.5000 0.5000
```

---

No. 16
The following is a PBE-GGA calculation of a relaxed structure of Ho3SnIr, from Alexandria.

The space group is No. 63. The calculation puts the density of states at the Fermi level at 7.91 states/eV/cell. The value obtained for the volume is 26.6 Å³ per atom. The energy relative to the elements is -0.69 eV per atom.

Geometry as POSCAR:
```
Ho3SnIr
1.0
2.2432 -5.7711 0.0000
2.2432 5.7711 0.0000
0.0000 0.0000 10.2694
Ho Sn Ir
6 2 2
Direct
0.0808 0.9192 0.7500
0.3580 0.6420 0.5486
0.3580 0.6420 0.9514
0.6420 0.3580 0.0486
0.6420 0.3580 0.4514
0.9192 0.0808 0.2500
0.2263 0.7737 0.2500
0.7737 0.2263 0.7500
0.0000 0.0000 0.0000
0.0000 0.0000 0.5000
```

---

No. 17
The following is a PBE-GGA calculation of a relaxed structure of Pm4AlAg2Au, from Alexandria.

The space group is No. 166. The calculation puts the density of states at the Fermi level at 6.57 states/eV/cell. The value obtained for the volume is 25.7 Å³ per atom. The energy relative to the elements is -0.43 eV per atom.

Geometry as POSCAR:
```
Pm4AlAg2Au
1.0
2.6225 1.5141 8.6226
-2.6225 1.5141 8.6226
0.0000 -3.0282 8.6226
Pm Al Ag Au
4 1 2 1
Direct
0.1221 0.1221 0.1221
0.3735 0.3735 0.3735
0.6265 0.6265 0.6265
0.8779 0.8779 0.8779
0.5000 0.5000 0.5000
0.2425 0.2425 0.2425
0.7575 0.7575 0.7575
0.0000 0.0000 0.0000
```

---

No. 18
The following is a PBE-GGA calculation of a relaxed structure of TmThIrRh, from Alexandria.

The space group is No. 216. The calculation puts the density of states at the Fermi level at 2.12 states/eV/cell. The value obtained for the volume is 21.3 Å³ per atom. The energy relative to the elements is -0.85 eV per atom.

Geometry as POSCAR:
```
TmThIrRh
1.0
0.0000 3.4945 3.4945
3.4945 0.0000 3.4945
3.4945 3.4945 0.0000
Tm Th Ir Rh
1 1 1 1
Direct
0.0000 0.0000 0.0000
0.5000 0.5000 0.5000
0.7500 0.7500 0.7500
0.2500 0.2500 0.2500
```

---

No. 19
The following is a PBE-GGA calculation of a relaxed structure of Pm2NdYHo2, from Alexandria.

The space group is No. 58. The calculation puts the density of states at the Fermi level at 19.13 states/eV/cell. The value obtained for the volume is 32.9 Å³ per atom. The energy relative to the elements is 0.06 eV per atom.

Geometry as POSCAR:
```
Pm2NdYHo2
1.0
7.0621 0.0000 0.0000
0.0000 9.8605 0.0000
0.0000 0.0000 5.6725
Pm Nd Y Ho
4 2 2 4
Direct
0.2483 0.1666 0.0000
0.2517 0.6666 0.5000
0.7483 0.3334 0.5000
0.7517 0.8334 0.0000
0.0000 0.5000 0.0000
0.5000 0.0000 0.5000
0.0000 0.0000 0.5000
0.5000 0.5000 0.0000
0.2503 0.3332 0.5000
0.2497 0.8332 0.0000
0.7503 0.1668 0.0000
0.7497 0.6668 0.5000
```

---

No. 20
The following is a PBE-GGA calculation of a relaxed structure of LaH2SeN, from Alexandria.

As for the energy: -23.39 eV per cell. The space group is No. 123. The calculation puts the density of states at the Fermi level at 1.70 states/eV/cell. The value obtained for the volume is 13.1 Å³ per atom.

Geometry as POSCAR:
```
LaH2SeN
1.0
3.8077 0.0000 0.0000
0.0000 3.8077 0.0000
0.0000 0.0000 4.5317
La H Se N
1 2 1 1
Direct
0.0000 0.0000 0.0000
0.0000 0.5000 0.5000
0.5000 0.0000 0.5000
0.5000 0.5000 0.5000
0.5000 0.5000 0.0000
```

---

No. 21
The following is a PBE-GGA calculation of a relaxed structure of ZrCu2Mo, from Alexandria.

The space group is No. 122. The value obtained for the polymorph energy (0 for the lowest one) is 520 meV/atom. The calculation puts the density of states at the Fermi level at 10.10 states/eV/cell. The value obtained for the volume is 17.1 Å³ per atom. The energy relative to the elements is 0.61 eV per atom.

Geometry as POSCAR:
```
ZrCu2Mo
1.0
-1.8791 1.8791 9.6613
1.8791 -1.8791 9.6613
1.8791 1.8791 -9.6613
Zr Cu Mo
2 4 2
Direct
0.0000 0.0000 0.0000
0.7500 0.2500 0.5000
0.1496 0.6250 0.0246
0.3750 0.3996 0.5246
0.6004 0.1250 0.9754
0.8750 0.8504 0.4754
0.2500 0.7500 0.5000
0.5000 0.5000 0.0000
```

---

No. 22
The following is a PBE-GGA calculation of a relaxed structure of VAsAu, from Alexandria.

The space group is No. 31. The calculation puts the density of states at the Fermi level at 14.10 states/eV/cell. The value obtained for the volume is 17.3 Å³ per atom. The energy relative to the elements is 0.03 eV per atom.

Geometry as POSCAR:
```
VAsAu
1.0
3.1484 0.0000 0.0000
0.0000 4.4776 0.0000
0.0000 0.0000 22.1109
V As Au
6 6 6
Direct
0.0000 0.0237 0.0000
0.0000 0.2363 0.7008
0.0000 0.9155 0.2914
0.5000 0.0845 0.7914
0.5000 0.7637 0.2008
0.5000 0.9763 0.5000
0.0000 0.0567 0.8862
0.0000 0.3525 0.2249
0.0000 0.8425 0.1091
0.5000 0.1575 0.6091
0.5000 0.6475 0.7249
0.5000 0.9433 0.3862
0.0000 0.4618 0.4655
0.0000 0.5646 0.8266
0.0000 0.6509 0.5895
0.5000 0.3491 0.0895
0.5000 0.4354 0.3266
0.5000 0.5382 0.9655
```